Entry from the Alexandria database: a relaxed structure of Cr2FeRu (PBE).

## Properties
space-group type: No. 12
total magnetic moment: 2.81 μB/cell
ΔH_f (0 K): 4.378 kcal/mol of atoms

Cell lengths 4.775, 4.775, 2.550 Å; angles 80.91, 80.91, 116.81 degrees
Site moments in Bohr magnetons follow the coordinates.
Atoms (fractional coordinates):
Cr 0.000 0.000 0.000  0.07
Cr 0.500 0.500 0.000  0.07
Fe 0.500 0.000 0.500  2.35
Ru 0.000 0.500 0.500  0.31